[1]
## SrZn4Si3 (PBE-GGA)

Data for crystalline SrZn4Si3 at its relaxed geometry.

The structure in extended XYZ format:
```
8
Lattice="4.374 0.000 0.000 0.000 4.374 0.000 0.000 0.000 7.698" Properties=species:S:1:pos:R:3 pbc="T T T"
Zn 2.187 0.000 2.480
Zn 2.187 0.000 5.218
Zn 0.000 2.187 2.480
Si 2.187 2.187 1.187
Si 2.187 2.187 6.511
Zn 0.000 2.187 5.218
Si 0.000 0.000 3.849
Sr 0.000 0.000 0.000
```

[2]
## Ta5Si4 (PBE-GGA)

Data for crystalline Ta5Si4 at its relaxed geometry.

The structure in extended XYZ format:
```
36
Lattice="-6.440 2.115 -0.049 -2.064 -6.247 1.630 0.847 2.859 12.028" Properties=species:S:1:pos:R:3 pbc="T T T"
Ta -0.521 -1.418 3.265
Ta -4.890 -4.082 1.615
Si -7.346 -1.385 4.869
Ta -6.125 -4.026 4.880
Ta -3.811 -0.765 2.063
Si -2.288 -2.779 1.653
Ta -2.529 0.131 11.302
Si -5.681 0.448 7.508
Si -2.624 -3.293 8.333
Ta -6.203 2.944 7.700
Si -2.654 -0.129 4.391
Si -5.325 1.030 1.112
Si -4.872 -0.704 11.068
Ta -2.715 -4.831 6.144
Ta -1.719 -1.433 6.545
Ta -4.353 1.487 9.529
Ta -4.054 -1.216 8.571
Si -5.726 -1.999 3.089
Si -1.746 -2.020 12.388
Si -1.914 0.937 2.273
Ta -1.433 -0.696 0.266
Ta -7.175 0.010 9.778
Si -4.268 -2.836 6.527
Si -2.060 0.286 8.671
Si -5.853 -2.582 9.770
Ta -4.727 4.280 10.504
Si -0.200 0.483 10.305
Ta -6.647 -2.007 7.329
Ta -3.303 -2.760 4.080
Ta -5.554 1.454 12.513
Si -5.616 1.736 5.385
Ta -1.491 2.887 9.294
Si -3.075 2.619 11.530
Ta -1.667 -4.940 2.871
Ta -3.150 1.514 6.546
Ta -4.918 -0.697 5.283
```

Number 1: energy -3.041 eV/atom. Number 2: energy -9.476 eV/atom.